# PBE PuTh2Bi4, relaxed
# - Space group: I-42d (122)
# - E: -6.89 eV/atom
# - Crystal system: tetragonal
# - Energy relative to the elements: -0.51 eV/atom
data_PuTh2Bi4
_cell_length_a 8.336
_cell_length_b 8.336
_cell_length_c 8.336
_cell_angle_alpha 109.75
_cell_angle_beta 109.75
_cell_angle_gamma 108.91
_symmetry_space_group_name_H-M 'P 1'
_symmetry_Int_Tables_number 1
_symmetry_space_group_name_Hall 'P 1'
loop_
_atom_site_label
_atom_site_type_symbol
_atom_site_fract_x
_atom_site_fract_y
_atom_site_fract_z
Pu1 Pu 0.000 0.000 0.000
Pu2 Pu 0.750 0.250 0.500
Th1 Th 0.253 0.625 0.128
Th2 Th 0.375 0.503 0.628
Th3 Th 0.497 0.125 0.872
Th4 Th 0.875 0.747 0.372
Bi1 Bi 0.121 0.215 0.746
Bi2 Bi 0.124 0.718 0.754
Bi3 Bi 0.282 0.035 0.406
Bi4 Bi 0.468 0.374 0.254
Bi5 Bi 0.626 0.879 0.094
Bi6 Bi 0.629 0.876 0.594
Bi7 Bi 0.785 0.532 0.906
Bi8 Bi 0.965 0.371 0.246